DFT (PBE-GGA) results for a geometry-optimized KY2Se structure.

The space group is Cm (No. 8) and the conventional cell measures 12.523, 3.675 and 6.989 Å, with angles of 90.00, 120.12 and 90.00 degrees. The asymmetric unit holds K at (0.000, 0.000, 0.000), Y at (0.158, 0.000, 0.651), Y at (0.354, 0.000, 0.372) and Se at (0.238, 0.500, 0.010).

***

DFT (PBE-GGA) results for a geometry-optimized KY2Se structure.

The space group is P4/mmm (No. 123) and the conventional cell measures 3.584, 3.584 and 10.493 Å, with angles of 90.00, 90.00 and 90.00 degrees. The asymmetric unit holds K at (0.000, 0.000, 0.000), Y at (0.500, 0.500, 0.338) and Se at (0.000, 0.000, 0.500).

***

DFT (PBE-GGA) results for a geometry-optimized KYSe2 structure.

The space group is F-43m (No. 216) and the conventional cell measures 7.361, 7.361 and 7.361 Å, with angles of 90.00, 90.00 and 90.00 degrees. The asymmetric unit holds K at (0.000, 0.000, 0.000), Y at (0.250, 0.250, 0.750), Se at (0.000, 0.000, 0.500) and Se at (0.250, 0.250, 0.250).

***

DFT (PBE-GGA) results for a geometry-optimized KYSe2 structure.

The space group is Fm-3m (No. 225) and the conventional cell measures 7.367, 7.367 and 7.367 Å, with angles of 90.00, 90.00 and 90.00 degrees. The asymmetric unit holds K at (0.000, 0.000, 0.000), Y at (0.000, 0.000, 0.500) and Se at (0.250, 0.250, 0.250).

***

Number 1: formation energy from raw total energies -506 meV/atom, total moment 0.144 μB/atom, density 3.53 g/cm³. Number 2: formation energy from raw total energies -448 meV/atom, total moment 0.166 μB/atom, density 3.65 g/cm³. Number 3: formation energy from raw total energies -515 meV/atom, total moment 0.000 μB/atom, density 4.76 g/cm³. Number 4: formation energy from raw total energies -1319 meV/atom, total moment 0.000 μB/atom, density 4.75 g/cm³.